This record from the Alexandria database describes crystalline Ta2NbCo2 at its relaxed geometry. The functional is GGA-PBE.

- E_tot (eV/atom) = -9.578
- energy relative to the elements (kJ/mol of formula units) = 9
- Fermi-level density of states (states/eV/atom) = 1.22
- polymorph energy (0 for the lowest one) (eV per atom) = 0.119

Unit cell a=7.308 b=7.308 c=2.877 alpha=90.00 beta=90.00 gamma=90.00
Sites, in units of the cell vectors:
Nb1 0.000 0.000 0.000
Nb2 0.500 0.500 0.000
Co1 0.138 0.638 0.500
Co2 0.638 0.862 0.500
Co3 0.862 0.362 0.500
Co4 0.362 0.138 0.500
Ta1 0.343 0.843 0.000
Ta2 0.843 0.657 0.000
Ta3 0.657 0.157 0.000
Ta4 0.157 0.343 0.000